Entry 1:
Compound: Ho3SiBi2
Source: the Alexandria database
Functional: GGA-PBE
Structure: relaxed

Cell: 13.1104 7.2302 7.5074 Å, 90.00 90.00 90.00°
Last column: nearest neighbours and their distance in Å.
Space group Cmcm (No. 63)
One atom of each set of equivalent atoms:
Ho: 0.0000 0.0000 0.0000 (multiplicity 4)  2 Si 2.98, 4 Bi 3.17
Ho: 0.1449 0.5000 0.0000 (multiplicity 8)  2 Si 2.97, 4 Bi 3.17-3.20
Si: 0.0000 0.3195 0.2500 (multiplicity 4)  6 Ho 2.97-2.98
Bi: 0.1758 0.1505 0.7500 (multiplicity 8)  6 Ho 3.17-3.20

Output
* ρ: 8781 kg/m3
* crystal system: orthorhombic
* total magnetic moment: 0.000 μB/cell
* uncorrected formation energy: -624.4 meV per atom
* electronic total energy: -5.111 eV per atom

***

Entry 2:
Compound: Ho5Si2Bi2
Source: the Alexandria database
Functional: GGA-PBE
Structure: relaxed

Cell: 15.3169 7.8875 7.9040 Å, 90.00 90.00 90.00°
Last column: nearest neighbours and their distance in Å.
Space group Cmce (No. 64)
One atom of each set of equivalent atoms:
Ho: 0.0000 0.0000 0.0000 (multiplicity 4)  4 Si 3.06-3.08, 2 Bi 3.18
Ho: 0.1216 0.1642 0.3356 (multiplicity 16)  3 Si 2.91-3.02, 3 Bi 3.20-3.23
Si: 0.0000 0.1356 0.6343 (multiplicity 8)  8 Ho 2.91-3.08, 1 Si 3.01
Bi: 0.2074 0.0000 0.0000 (multiplicity 8)  7 Ho 3.18-3.23

Output
* ρ: 9034 kg/m3
* crystal system: orthorhombic
* total magnetic moment: 0.004 μB/cell
* uncorrected formation energy: -792.3 meV per atom
* electronic total energy: -5.403 eV per atom